i.
Crystalline Nd2Sc2CCl5 at its relaxed geometry, computed with PBE-GGA.

The structure belongs to space group C2/m (No. 12); the cell edges are 16.886, 3.704 and 8.211 Å and the angles 90.00°, 103.09° and 90.00°. Symmetry generates all atoms from Nd at (0.000, 0.000, 0.214), Sc at (0.137, 0.500, 0.068), C at (0.000, 0.500, 0.000), Cl at (0.000, 0.500, 0.500), Cl at (0.171, 0.000, 0.295) and Cl at (0.174, 0.000, 0.869).


ii.
Crystalline Nd2Sc2CCl5 at its relaxed geometry, computed with PBE-GGA.

The structure belongs to space group C2/m (No. 12); the cell edges are 17.105, 3.634 and 7.591 Å and the angles 90.00°, 105.61° and 90.00°. Symmetry generates all atoms from Nd at (0.150, 0.000, 0.094), Sc at (0.000, 0.500, 0.202), C at (0.000, 0.000, 0.000), Cl at (0.000, 0.000, 0.500), Cl at (0.154, 0.500, 0.373) and Cl at (0.160, 0.500, 0.815).


Most stable structure: i


i.
Crystalline CoC2 at its relaxed geometry, computed with PBE-GGA.

The structure belongs to space group Fd-3m (No. 227, origin choice 2); the cell edges are 5.717, 5.717 and 5.717 Å and the angles 90.00°, 90.00° and 90.00°. Symmetry generates all atoms from Co at (0.125, 0.125, 0.125) and C at (0.000, 0.000, 0.500).


ii.
Crystalline CoC2 at its relaxed geometry, computed with PBE-GGA.

The structure belongs to space group P4_2/mnm (No. 136); the cell edges are 4.527, 4.527 and 2.704 Å and the angles 90.00°, 90.00° and 90.00°. Symmetry generates all atoms from Co at (0.000, 0.000, 0.000) and C at (0.207, 0.207, 0.500).


iii.
Crystalline CoC2 at its relaxed geometry, computed with PBE-GGA.

The structure belongs to space group Fd-3m (No. 227, origin choice 2); the cell edges are 7.936, 7.936 and 7.936 Å and the angles 90.00°, 90.00° and 90.00°. Symmetry generates all atoms from Co at (0.125, 0.125, 0.125) and C at (0.000, 0.000, 0.000).


Most stable structure: ii